[1]
SmHo2Ni9, optimized geometry, DFT PBE; SG = No. 166; E = -68.90 eV/cell
1.0
-8.4397 -1.5341 0.0162
-6.9696 -1.5768 4.7456
-7.7575 2.7331 2.4360
Ni Ho Sm
9 2 1
Direct
0.4166 0.4166 0.9186
0.0814 0.5834 0.5834
0.9186 0.4166 0.4166
0.5000 0.5000 0.5000
0.6670 0.6670 0.6670
0.3330 0.3330 0.3330
0.4166 0.9186 0.4166
0.5834 0.5834 0.0814
0.5834 0.0814 0.5834
0.8607 0.8607 0.8607
0.1393 0.1393 0.1393
0.0000 0.0000 0.0000


[2]
Co7Hg, optimized geometry, DFT PBE; energy relative to the lowest polymorph listed for this composition = 118 meV per atom; SG = No. 129
1.0
-0.7156 -1.0755 2.2149
2.4274 -0.6950 0.4468
6.1228 32.9330 17.9688
Co Hg
14 2
Direct
0.0000 0.5000 0.4340
0.0000 0.5000 0.6960
0.0000 0.5000 0.5207
0.0000 0.5000 0.3485
0.0000 0.5000 0.7824
0.5000 0.0000 0.4793
0.5000 0.0000 0.3912
0.5000 0.0000 0.5660
0.5000 0.0000 0.3040
0.5000 0.0000 0.7399
0.0000 0.5000 0.6088
0.5000 0.0000 0.2176
0.5000 0.0000 0.6515
0.0000 0.5000 0.2601
0.5000 0.0000 0.8436
0.0000 0.5000 0.1564


[3]
Dy2TmSi, optimized geometry, DFT PBE; SG = No. 63; E = -40.08 eV/cell
1.0
0.0183 0.3179 -3.4721
-1.5265 -3.1142 -0.3587
-15.7784 7.6635 0.6195
Dy Si Tm
4 2 2
Direct
0.4810 0.4810 0.8999
0.5190 0.5190 0.1001
0.5186 0.5186 0.4000
0.4814 0.4814 0.6000
0.0000 0.0000 0.0000
0.0000 0.0000 0.5000
0.9846 0.9846 0.7499
0.0154 0.0154 0.2501